VASP calculation (PBE) on an optimized crystal structure of CaBeGeIr.

POSCAR file:
```
CaBeGeIr
1.0
2.048 1.182 5.231
-2.048 1.182 5.231
0.000 -2.364 5.231
Ca Be Ge Ir
1 1 1 1
Cartesian
0.000 0.000 0.000
0.000 0.000 8.379
0.000 0.000 12.675
0.000 0.000 3.058
```

Formation energy (eV per atom): -0.48
Mass density (Mg/m³): 6.86
E (eV per atom): -5.285
Symmetry: No. 160
DOS at the Fermi energy (states/eV/f.u.): 0.2


VASP calculation (PBE) on an optimized crystal structure of Sr2CuBr.

POSCAR file:
```
Sr2CuBr
1.0
-2.365 3.222 4.303
2.365 -3.222 4.303
2.365 3.222 -4.303
Sr Cu Br
2 1 1
Cartesian
0.000 0.000 2.155
0.000 0.000 6.450
0.000 3.222 0.000
2.365 0.000 0.000
```

Mass density (Mg/m³): 4.03
E (eV per atom): -2.800
Symmetry: No. 71
E above lowest polymorph (meV/atom): 248
DOS at the Fermi energy (states/eV/f.u.): 2.3
Formation energy (no corrections) (eV per atom): -0.517


VASP calculation (PBE) on an optimized crystal structure of CeNd3Er3Se8.

POSCAR file:
```
CeNd3Er3Se8
1.0
4.122 2.380 6.767
-4.122 2.380 6.767
0.000 -4.760 6.767
Ce Nd Er Se
1 3 3 8
Cartesian
0.000 0.000 0.000
-4.122 0.000 10.150
-2.061 1.190 3.383
2.061 1.190 3.383
-2.061 -1.190 6.767
-2.061 1.190 13.534
0.000 2.380 6.767
0.000 0.000 5.185
0.000 -2.262 8.422
-1.959 1.131 8.422
-1.959 -1.131 11.879
1.959 1.131 8.422
1.959 -1.131 11.879
0.000 2.262 11.879
0.000 0.000 15.116
```

Mass density (Mg/m³): 7.11
E (eV per atom): -5.940
Symmetry: No. 166
DOS at the Fermi energy (states/eV/f.u.): 12.7
Formation energy (no corrections) (eV per atom): -1.820


VASP calculation (PBE) on an optimized crystal structure of BaSc2Be.

POSCAR file:
```
BaSc2Be
1.0
2.205 1.273 6.857
-2.205 1.273 6.857
0.000 -2.547 6.857
Ba Sc Be
1 2 1
Cartesian
0.000 0.000 0.000
0.000 0.000 11.205
0.000 0.000 16.337
0.000 0.000 3.692
```

Formation energy (eV per atom): 0.34
Mass density (Mg/m³): 3.40
E (eV per atom): -4.236
Symmetry: No. 160
DOS at the Fermi energy (states/eV/f.u.): 5.0


VASP calculation (PBE) on an optimized crystal structure of Sm3Ho6TmSc2.

POSCAR file:
```
Sm3Ho6TmSc2
1.0
3.043 -5.267 0.000
3.043 5.267 0.000
-2.026 0.000 11.404
Sm Ho Tm Sc
3 6 1 2
Cartesian
0.000 0.000 0.000
3.043 1.758 0.000
3.043 -1.758 0.000
1.006 1.767 2.946
-0.011 0.000 8.458
1.006 -1.767 2.946
3.053 1.767 8.458
4.069 0.000 2.946
3.053 -1.767 8.458
2.029 0.000 5.702
2.029 3.511 5.702
2.029 -3.511 5.702
```

Formation energy (eV per atom): 0.04
Mass density (Mg/m³): 7.72
E (eV per atom): -4.858
Symmetry: No. 12
DOS at the Fermi energy (states/eV/f.u.): 17.4


VASP calculation (PBE) on an optimized crystal structure of CsTlSn3.

POSCAR file:
```
CsTlSn3
1.0
5.940 0.000 0.000
0.000 5.940 0.000
0.000 0.000 5.940
Cs Tl Sn
1 1 3
Cartesian
0.000 0.000 0.000
2.970 2.970 2.970
0.000 2.970 2.970
2.970 0.000 2.970
2.970 2.970 0.000
```

Formation energy (eV per atom): 0.35
Mass density (Mg/m³): 5.49
E (eV per atom): -2.696
Symmetry: No. 221
E above lowest polymorph (meV/atom): 0
DOS at the Fermi energy (states/eV/f.u.): 4.6